LiCu2Si (PBE, optimized geometry); total energy = -0.1439 hartree per atom
1.0
4.0564 0.0000 0.0000
0.0000 5.7465 0.0000
0.0000 0.0000 12.1841
Cu Si Li
12 6 6
direct
0.0000 0.2503 0.8333 Cu
0.0000 0.2503 0.1667 Cu
0.4999 0.2497 0.3333 Cu
0.0000 0.7497 0.1667 Cu
0.5001 0.7503 0.6667 Cu
0.4999 0.7503 0.3333 Cu
0.5000 0.2496 0.0000 Cu
0.0000 0.2504 0.5000 Cu
0.0000 0.7496 0.5000 Cu
0.0000 0.7497 0.8333 Cu
0.5000 0.7504 0.0000 Cu
0.5001 0.2497 0.6667 Cu
0.5000 0.0000 0.8333 Si
0.0000 0.5000 0.0000 Si
0.0000 0.5000 0.3333 Si
0.5000 0.0000 0.5000 Si
0.5000 0.0000 0.1667 Si
0.0000 0.5000 0.6667 Si
0.0000 0.0000 0.3334 Li
0.5001 0.5000 0.8334 Li
0.0000 0.0000 0.0000 Li
0.4999 0.5000 0.1666 Li
0.0000 0.0000 0.6666 Li
0.5000 0.5000 0.5000 Li

LiCu2Si (PBE, optimized geometry); total energy = -0.1406 hartree per atom
1.0
-0.6267 3.5393 -1.3753
-3.6209 -0.9767 -0.8637
-0.9587 0.9670 2.9254
Cu Si Li
2 1 1
direct
0.5000 0.0000 0.5000 Cu
0.0000 0.5000 0.5000 Cu
0.5000 0.5000 0.0000 Si
0.0000 0.0000 0.0000 Li

Li4CuSi2 (PBE, optimized geometry); total energy = -0.1099 hartree per atom
1.0
-1.0313 1.9843 5.7305
-3.0763 -1.6819 -5.0544
-0.0721 -4.2070 1.4438
Li Cu Si
4 1 2
direct
0.5000 0.5000 0.0000 Li
0.0000 0.0000 0.5000 Li
0.1966 0.8034 0.0000 Li
0.8034 0.1966 0.0000 Li
0.0000 0.0000 0.0000 Cu
0.6826 0.3174 0.5000 Si
0.3174 0.6826 0.5000 Si

LiCuSi (PBE, optimized geometry); total energy = -0.1417 hartree per atom
1.0
4.0230 -2.9886 0.0000
4.0230 2.9886 0.0000
-2.0255 0.0000 3.5013
Si Cu Li
2 2 2
direct
0.9946 0.5911 0.3880 Si
0.5911 0.9946 0.3880 Si
0.1807 0.7473 0.0588 Cu
0.7473 0.1807 0.0588 Cu
0.1628 0.1628 0.7576 Li
0.5892 0.5892 0.6844 Li

LiCu2Si (PBE, optimized geometry); total energy = -0.1418 hartree per atom
1.0
-4.3602 1.9744 -0.8105
-2.9484 -5.4757 2.5228
0.1120 2.7638 6.1298
Si Cu Li
4 8 4
direct
0.6190 0.2500 0.3719 Si
0.8810 0.2500 0.8719 Si
0.3810 0.7500 0.6281 Si
0.1190 0.7500 0.1281 Si
0.4074 0.5575 0.3279 Cu
0.5926 0.0575 0.6721 Cu
0.5926 0.4425 0.6721 Cu
0.9074 0.4425 0.1721 Cu
0.4074 0.9425 0.3279 Cu
0.0926 0.9425 0.8279 Cu
0.9074 0.0575 0.1721 Cu
0.0926 0.5575 0.8279 Cu
0.3764 0.2500 0.0241 Li
0.1236 0.2500 0.5241 Li
0.8764 0.7500 0.4759 Li
0.6236 0.7500 0.9759 Li

LiCu2Si (PBE, optimized geometry); total energy = -0.1380 hartree per atom
1.0
-5.4766 -0.7587 1.6109
-0.1997 -4.9152 -2.9940
1.7694 -2.9032 4.6481
Cu Li Si
8 4 4
direct
0.2516 0.7484 0.7484 Cu
0.7484 0.7484 0.2516 Cu
0.2516 0.2516 0.7484 Cu
0.7484 0.2516 0.7484 Cu
0.7484 0.2516 0.2516 Cu
0.2516 0.2516 0.2516 Cu
0.7484 0.7484 0.7484 Cu
0.2516 0.7484 0.2516 Cu
0.5000 0.0000 0.0000 Li
0.0000 0.0000 0.0000 Li
0.0000 0.5000 0.0000 Li
0.0000 0.0000 0.5000 Li
0.5000 0.5000 0.5000 Si
0.0000 0.5000 0.5000 Si
0.5000 0.5000 0.0000 Si
0.5000 0.0000 0.5000 Si

LiCu2Si (PBE, optimized geometry); total energy = -0.1438 hartree per atom
1.0
0.0200 4.0430 0.2831
3.4077 -2.0941 0.6547
-1.5248 0.2698 -3.7455
Si Cu Li
1 2 1
direct
0.0000 0.0000 0.0000 Si
0.2500 0.5000 0.7500 Cu
0.7500 0.5000 0.2500 Cu
0.5000 0.0000 0.5000 Li

LiCu5Si2 (PBE, optimized geometry); total energy = -0.1483 hartree per atom
1.0
-2.7438 -2.8278 -0.9411
2.9776 -2.6553 -0.7027
-0.1793 -1.6580 5.5050
Si Cu Li
2 5 1
direct
0.5000 0.5000 0.5000 Si
0.0000 0.0000 0.0000 Si
0.0000 0.5000 0.7440 Cu
0.5000 0.0000 0.2560 Cu
0.5000 0.0000 0.7440 Cu
0.5000 0.5000 0.0000 Cu
0.0000 0.5000 0.2560 Cu
0.0000 0.0000 0.5000 Li

LiCu5Si2 (PBE, optimized geometry); total energy = -0.1483 hartree per atom
1.0
-3.0656 2.4312 -1.0524
-1.0578 0.3523 3.8952
3.4482 4.5743 0.5227
Si Cu Li
2 5 1
direct
0.5000 0.5000 0.5000 Si
0.0000 0.0000 0.0000 Si
0.5000 0.0000 0.7560 Cu
0.0000 0.5000 0.7560 Cu
0.0000 0.0000 0.5000 Cu
0.5000 0.0000 0.2440 Cu
0.0000 0.5000 0.2440 Cu
0.5000 0.5000 0.0000 Li

LiTaCuSi (PBE, optimized geometry); relative energy among the computed polymorphs = 0 meV per atom
1.0
-4.1329 -0.8639 0.4111
-2.8950 2.7874 -1.3586
-2.3364 -0.8713 -3.4320
Ta Li Si Cu
1 1 1 1
direct
0.2500 0.2500 0.2500 Ta
0.5000 0.5000 0.5000 Li
0.0000 0.0000 0.0000 Si
0.7500 0.7500 0.7500 Cu

LiTaCuSi (PBE, optimized geometry); relative energy among the computed polymorphs = 208 meV per atom
1.0
3.9689 -0.9310 -1.1330
1.7227 -3.6856 1.1624
0.7255 -3.0018 -2.8923
Si Li Cu Ta
1 1 1 1
direct
0.0000 0.0000 0.0000 Si
0.2500 0.2500 0.2500 Li
0.7500 0.7500 0.7500 Cu
0.5000 0.5000 0.5000 Ta

LiCuSiTe3 (PBE, optimized geometry); total energy = -0.1304 hartree per atom
1.0
-3.5894 3.6226 4.9041
-0.5344 2.4455 6.6175
5.3105 9.3673 -3.0328
Si Te Cu Li
2 6 2 2
direct
0.0000 0.0000 0.0000 Si
0.0000 0.0000 0.5000 Si
0.3595 0.3595 0.9475 Te
0.9117 0.9117 0.2500 Te
0.6405 0.6405 0.0525 Te
0.3595 0.3595 0.5525 Te
0.6405 0.6405 0.4475 Te
0.0883 0.0883 0.7500 Te
0.5455 0.5455 0.2500 Cu
0.4545 0.4545 0.7500 Cu
0.7775 0.7775 0.7500 Li
0.2225 0.2225 0.2500 Li

| no. | calculated volume (Å³/cell) |
| --- | --- |
| 1 | 284.0 |
| 2 | 47.8 |
| 3 | 107.4 |
| 4 | 84.2 |
| 5 | 219.1 |
| 6 | 191.0 |
| 7 | 47.1 |
| 8 | 94.4 |
| 9 | 94.4 |
| 10 | 54.0 |
| 11 | 53.6 |
| 12 | 282.3 |